Entry 1:
Y3Ho4ScS8 | PBE-GGA | relaxed

The calculation puts the uncorrected formation energy at -1.956 eV per atom. The total DFT energy (no corrections) is -6.772 eV per atom. As for the total moment: 0.0 μB per cell.

a = 7.753 Å, b = 7.753 Å, c = 7.753 Å
α = 60.04°, β = 60.04°, γ = 60.04°
Positions (direct):
Y 0.000 0.500 0.500
Y 0.500 0.000 0.500
Y 0.500 0.500 0.000
Ho 0.000 0.000 0.500
Ho 0.000 0.500 0.000
Ho 0.500 0.000 0.000
Ho 0.500 0.500 0.500
Sc 0.000 0.000 0.000
S 0.243 0.755 0.755
S 0.245 0.245 0.757
S 0.245 0.757 0.245
S 0.249 0.249 0.249
S 0.751 0.751 0.751
S 0.755 0.243 0.755
S 0.755 0.755 0.243
S 0.757 0.245 0.245

=====

Entry 2:
Ho2ZnSnGe | PBE-GGA | relaxed

The calculation puts the formation enthalpy at 0 K at -3.1 eV/f.u. The total DFT energy (no corrections) is -4.430 eV per atom. As for the total moment: 0.0 μB per cell.

a = 7.262 Å, b = 4.411 Å, c = 7.558 Å
α = 90.00°, β = 90.03°, γ = 90.00°
Positions (direct):
Ho 0.006 0.250 0.219
Ho 0.494 0.250 0.218
Ho 0.506 0.750 0.782
Ho 0.994 0.750 0.781
Zn 0.252 0.750 0.407
Zn 0.748 0.250 0.593
Sn 0.250 0.250 0.604
Sn 0.750 0.750 0.396
Ge 0.250 0.750 0.080
Ge 0.750 0.250 0.920

=====

Entry 3:
TaP2PtCl | PBE-GGA | relaxed

The calculation puts the uncorrected formation energy at 0.589 eV per atom. The total DFT energy (no corrections) is -5.523 eV per atom. As for the total moment: 0.0 μB per cell. As for the energy above the most stable polymorph in this dataset: 0 meV per atom.

a = 4.869 Å, b = 4.869 Å, c = 4.585 Å
α = 90.00°, β = 90.00°, γ = 90.00°
Positions (direct):
Ta 0.000 0.000 0.000
P 0.000 0.500 0.000
P 0.500 0.000 0.000
Pt 0.500 0.500 0.500
Cl 0.000 0.000 0.500

=====

Entry 4:
DyFe4Ge | PBE-GGA | relaxed

The calculation puts the formation enthalpy at 0 K at -0.3 eV/f.u. The total DFT energy (no corrections) is -7.225 eV per atom. As for the total moment: 7.1 μB per cell.

a = 4.944 Å, b = 4.944 Å, c = 4.944 Å
α = 60.00°, β = 60.00°, γ = 60.00°
Positions (direct):
Dy 0.000 0.000 0.000
Fe 0.376 0.376 0.376
Fe 0.376 0.376 0.872
Fe 0.376 0.872 0.376
Fe 0.872 0.376 0.376
Ge 0.750 0.750 0.750

=====

Entry 5:
SrCl | PBE-GGA | relaxed

The calculation puts the uncorrected formation energy at -1.571 eV per atom. The total DFT energy (no corrections) is -3.335 eV per atom. As for the total moment: 0.0 μB per cell.

a = 7.871 Å, b = 7.871 Å, c = 7.871 Å
α = 109.47°, β = 109.47°, γ = 109.47°
Positions (direct):
Sr 0.000 0.000 0.372
Sr 0.000 0.372 0.000
Sr 0.372 0.000 0.000
Sr 0.628 0.628 0.628
Cl 0.000 0.000 0.729
Cl 0.000 0.729 0.000
Cl 0.271 0.271 0.271
Cl 0.729 0.000 0.000

=====

Entry 6:
TaGa3B | PBE-GGA | relaxed

The calculation puts the formation enthalpy at 0 K at 4.0 eV/f.u. The total DFT energy (no corrections) is -4.714 eV per atom. As for the total moment: 0.0 μB per cell. As for the energy above the most stable polymorph in this dataset: 0 meV per atom.

a = 4.294 Å, b = 4.294 Å, c = 4.294 Å
α = 90.00°, β = 90.00°, γ = 90.00°
Positions (direct):
Ta 0.000 0.000 0.000
Ga 0.000 0.500 0.500
Ga 0.500 0.000 0.500
Ga 0.500 0.500 0.000
B 0.500 0.500 0.500

=====

Entry 7:
Pr6TmCd | PBE-GGA | relaxed

The calculation puts the formation enthalpy at 0 K at 3.2 eV/f.u. The total DFT energy (no corrections) is -3.860 eV per atom. As for the total moment: 0.0 μB per cell. As for the energy above the most stable polymorph in this dataset: 445 meV per atom.

a = 6.593 Å, b = 6.618 Å, c = 9.192 Å
α = 110.55°, β = 90.69°, γ = 119.49°
Positions (direct):
Pr 0.042 0.472 0.285
Pr 0.175 0.138 0.711
Pr 0.442 0.257 0.286
Pr 0.558 0.743 0.714
Pr 0.825 0.862 0.289
Pr 0.958 0.528 0.715
Tm 0.500 0.000 0.500
Cd 0.000 0.000 0.000

=====

Entry 8:
K3Ni2AgBr8 | PBE-GGA | relaxed

The calculation puts the uncorrected formation energy at -0.860 eV per atom. The total DFT energy (no corrections) is -3.080 eV per atom. As for the total moment: 4.0 μB per cell.

a = 7.566 Å, b = 7.566 Å, c = 9.393 Å
α = 90.00°, β = 90.00°, γ = 120.00°
Positions (direct):
K 0.000 0.000 0.000
K 0.333 0.667 0.610
K 0.667 0.333 0.390
Ni 0.333 0.667 0.200
Ni 0.667 0.333 0.800
Ag 0.000 0.000 0.500
Br 0.168 0.336 0.310
Br 0.168 0.832 0.310
Br 0.333 0.667 0.954
Br 0.336 0.168 0.690
Br 0.664 0.832 0.310
Br 0.667 0.333 0.046
Br 0.832 0.168 0.690
Br 0.832 0.664 0.690